[1]
Compound: TbThSn
Source: Alexandria
Functional: PBE-GGA
Structure: optimized geometry

VASP energy: -16.63 eV/cell
density: 9.4 g/cm³
relative energy among the computed polymorphs: 324 meV per atom

abc: 5.3289 5.3289 3.6484
angles: 90.00 90.00 120.00
Space group P3m1 (No. 156)
One atom of each set of equivalent atoms:
Tb1 0.0000 0.0000 0.0000 x1
Th1 0.6667 0.3333 0.5348 x1
Sn1 0.3333 0.6667 0.1947 x1

[2]
Compound: LiNbTl3
Source: Alexandria
Functional: PBE-GGA
Structure: optimized geometry

VASP energy: -15.12 eV/cell
density: 9.7 g/cm³
relative energy among the computed polymorphs: 306 meV per atom

abc: 4.9685 4.9685 4.9685
angles: 90.00 90.00 90.00
Space group Pm-3m (No. 221)
One atom of each set of equivalent atoms:
Li1 0.0000 0.0000 0.0000 x1
Nb1 0.5000 0.5000 0.5000 x1
Tl1 0.0000 0.0000 0.5000 x3

[3]
Compound: Ba2LaAuSe
Source: Alexandria
Functional: PBE-GGA
Structure: optimized geometry

ΔE_f (raw): 0.118 eV per atom
VASP energy: -14.95 eV/cell
density: 5.1 g/cm³

abc: 6.4993 6.4993 5.2881
angles: 90.00 90.00 90.00
Space group P4/mmm (No. 123)
One atom of each set of equivalent atoms:
Ba1 0.0000 0.5000 0.0000 x2
La1 0.0000 0.0000 0.0000 x1
Au1 0.0000 0.0000 0.5000 x1
Se1 0.5000 0.5000 0.5000 x1

[4]
Compound: LiFeNi2C
Source: Alexandria
Functional: PBE-GGA
Structure: optimized geometry

VASP energy: -31.05 eV/cell
density: 6.0 g/cm³

abc: 3.7733 3.7733 3.7290
angles: 90.00 90.00 90.00
Space group P4/mmm (No. 123)
One atom of each set of equivalent atoms:
Li1 0.0000 0.0000 0.0000 x1
Fe1 0.5000 0.5000 0.0000 x1
Ni1 0.0000 0.5000 0.5000 x2
C1 0.5000 0.5000 0.5000 x1

[5]
Compound: TmNiN3
Source: Alexandria
Functional: PBE-GGA
Structure: optimized geometry

ΔE_f (raw): -0.507 eV per atom
VASP energy: -75.53 eV/cell
density: 6.5 g/cm³

abc: 3.5723 5.5983 7.6331
angles: 105.91 90.03 108.57
Space group P-1 (No. 2)
One atom of each set of equivalent atoms:
Tm1 0.1683 0.3366 0.3240 x2
Ni1 0.4384 0.8756 0.3174 x2
N1 0.3497 0.6996 0.9264 x2
N2 0.3684 0.7372 0.5252 x2
N3 0.3847 0.7685 0.0865 x2

[6]
Compound: Al3Cu2Si
Source: Alexandria
Functional: PBE-GGA
Structure: optimized geometry

ΔE_f (raw): 0.028 eV per atom
VASP energy: -49.35 eV/cell
density: 4.6 g/cm³
relative energy among the computed polymorphs: 0 meV per atom

abc: 3.9165 11.6778 3.7657
angles: 90.00 90.00 90.00
Space group Cmmm (No. 65)
One atom of each set of equivalent atoms:
Al1 0.0000 0.0000 0.0000 x2
Al2 0.0000 0.1699 0.5000 x4
Cu1 0.0000 0.3315 0.0000 x4
Si1 0.0000 0.5000 0.5000 x2

[7]
Compound: NaGePd4
Source: Alexandria
Functional: PBE-GGA
Structure: optimized geometry

VASP energy: -56.33 eV/cell
density: 8.5 g/cm³

abc: 4.6184 5.4365 8.8114
angles: 72.21 75.08 90.00
Space group P-1 (No. 2)
One atom of each set of equivalent atoms:
Na1 0.2502 0.1706 0.9996 x2
Ge1 0.0000 0.5000 0.5000 x1
Ge2 0.5000 0.0000 0.5000 x1
Pd1 0.0808 0.9725 0.3428 x2
Pd2 0.1509 0.5356 0.2010 x2
Pd3 0.3496 0.7373 0.7981 x2
Pd4 0.4192 0.3163 0.6566 x2

[8]
Compound: PrSm3Rh3
Source: Alexandria
Functional: PBE-GGA
Structure: optimized geometry

VASP energy: -180.08 eV/cell
density: 8.5 g/cm³

abc: 9.3067 10.5565 7.1285
angles: 90.00 90.69 90.00
Space group C2/m (No. 12)
One atom of each set of equivalent atoms:
Pr1 0.2431 0.0000 0.3744 x4
Sm1 0.0000 0.2571 0.5000 x4
Sm2 0.0000 0.3188 0.0000 x4
Sm3 0.1724 0.0000 0.8744 x4
Rh1 0.0601 0.5000 0.3010 x4
Rh2 0.2490 0.2529 0.2286 x8

[9]
Compound: Sr3Te
Source: Alexandria
Functional: PBE-GGA
Structure: optimized geometry

ΔE_f (raw): -0.746 eV per atom
VASP energy: -11.17 eV/cell
density: 3.3 g/cm³
relative energy among the computed polymorphs: 11 meV per atom

abc: 4.4622 4.4622 11.3020
angles: 90.00 90.00 120.00
Space group P-6m2 (No. 187)
One atom of each set of equivalent atoms:
Sr1 0.0000 0.0000 0.0000 x1
Sr2 0.3333 0.6667 0.3128 x2
Te1 0.0000 0.0000 0.5000 x1

[10]
Compound: OsWSe2N
Source: Alexandria
Functional: PBE-GGA
Structure: optimized geometry

ΔE_f (raw): 1.068 eV per atom
VASP energy: -34.14 eV/cell
density: 9.8 g/cm³
relative energy among the computed polymorphs: 0 meV per atom

abc: 5.0390 5.0390 3.6385
angles: 90.00 90.00 90.00
Space group P4/mmm (No. 123)
One atom of each set of equivalent atoms:
Os1 0.0000 0.0000 0.0000 x1
W1 0.5000 0.5000 0.5000 x1
Se1 0.0000 0.5000 0.0000 x2
N1 0.0000 0.0000 0.5000 x1

[11]
Compound: CrIn4Ni
Source: Alexandria
Functional: PBE-GGA
Structure: optimized geometry

VASP energy: -88.27 eV/cell
density: 6.7 g/cm³

abc: 8.2616 8.2616 8.2616
angles: 90.00 90.00 90.00
Space group F-43m (No. 216)
One atom of each set of equivalent atoms:
Cr1 0.0000 0.0000 0.0000 x4
In1 0.1249 0.1249 0.6249 x16
Ni1 0.2500 0.2500 0.2500 x4

[12]
Compound: Rb2CaCr
Source: Alexandria
Functional: PBE-GGA
Structure: optimized geometry

VASP energy: -29.16 eV/cell
density: 2.3 g/cm³
relative energy among the computed polymorphs: 750 meV per atom

abc: 9.1255 9.1255 9.1255
angles: 90.00 90.00 90.00
Space group Fm-3m (No. 225)
One atom of each set of equivalent atoms:
Rb1 0.2500 0.2500 0.2500 x8
Ca1 0.0000 0.0000 0.0000 x4
Cr1 0.0000 0.0000 0.5000 x4